Entry from the Alexandria database: an optimized crystal structure of PrTlVO4 (GGA+U).

Properties
E = -7.049 eV per atom

The structure in POSCAR format:
```
PrTlVO4
1.0
6.344 0.000 0.000
0.000 5.973 0.000
-1.676 0.000 7.527
Pr Tl V O
2 2 2 8
Cartesian
1.057 1.493 0.555 Pr
3.610 4.480 6.972 Pr
0.784 1.493 4.623 Tl
3.884 4.480 2.903 Tl
0.478 4.480 6.487 V
4.189 1.493 1.040 V
-0.831 3.113 6.370 O
-0.831 5.847 6.370 O
2.851 4.480 0.574 O
1.807 4.480 5.313 O
2.861 1.493 2.214 O
1.816 1.493 6.953 O
5.498 0.126 1.156 O
5.498 2.861 1.156 O
```